(1)
## TiOsIO2 (PBE)

Data for crystalline TiOsIO2 at its relaxed geometry.

Properties
Its excess energy over the best structure of this formula in the dataset is 269 meV per atom. The calculation puts the size of the total moment at 2.41 Bohr magnetons per cell. The uncorrected energy comes out at -6.259 eV/atom. As for the volume: 116 Å³/f.u.

Cell lengths 3.7890, 3.7890, 8.1003 Å; angles 90.00, 90.00, 90.00 degrees
Space group P4/mmm (No. 123)
Unique sites:
Ti  0.0000  0.0000  0.0000 x1
Os  0.5000  0.5000  0.5000 x1
I  0.5000  0.5000  0.0000 x1
O  0.0000  0.5000  0.5000 x2

(2)
## TiOsIO2 (PBE)

Data for crystalline TiOsIO2 at its relaxed geometry.

Properties
Its excess energy over the best structure of this formula in the dataset is 0 meV per atom. The calculation puts the size of the total moment at 1.64 Bohr magnetons per cell. The uncorrected energy comes out at -6.529 eV/atom. As for the volume: 91 Å³/f.u.

Cell lengths 3.7939, 3.7939, 6.2958 Å; angles 90.00, 90.00, 90.00 degrees
Space group P4/mmm (No. 123)
Unique sites:
Ti  0.0000  0.0000  0.0000 x1
Os  0.5000  0.5000  0.5000 x1
I  0.0000  0.0000  0.5000 x1
O  0.0000  0.5000  0.0000 x2

| no. | raw formation energy (eV per atom) |
| --- | --- |
| 1 | -0.14 |
| 2 | -0.41 |